Density functional theory data (GGA-PBE) for a relaxed structure of PrDy7Mg4.

POSCAR file:
```
PrDy7Mg4
1.0
5.7598 0.0000 0.0000
2.8799 8.5308 1.1362
2.8799 1.1661 7.4587
Mg Dy Pr
4 7 1
Cartesian
5.7598 3.3015 4.9304 Mg
5.7598 6.3954 3.6645 Mg
2.8799 2.9555 0.4318 Mg
8.6397 6.7414 8.1631 Mg
8.6397 4.4929 5.9538 Dy
2.8799 5.2040 2.6410 Dy
5.7598 2.7281 1.9254 Dy
8.6397 8.0997 4.9446 Dy
2.8799 1.5972 3.6502 Dy
2.8799 0.0000 0.0000 Dy
5.7598 6.9688 6.6695 Dy
0.0000 0.0000 0.0000 Pr
```

## Properties
SG = C2/m, No. 12
V = 29.905 A^3/atom
total magnetic moment = 0.0 μB/cell
E_form = 16.2 kJ/mol of atoms
ρ = 6.4 g cm⁻³